A relaxed structure of Ti5Al4Mo. Source: Alexandria, functional GGA-PBE.

Total DFT energy (no corrections): -6.37 eV per atom
ΔH_f (0 K): 0.162 eV/atom

Cell: 8.4321 8.4321 5.0890 Å, 90.00 90.00 90.00°
Space group I4 (No. 79)
One atom of each set of equivalent atoms:
1 Ti 0.0000 0.0000 0.0000 (multiplicity 2)
2 Ti 0.1462 0.2361 0.6695 (multiplicity 8)
3 Al 0.0523 0.3518 0.1687 (multiplicity 8)
4 Mo 0.0000 0.0000 0.5112 (multiplicity 2)

---

A relaxed structure of TiAlMo. Source: Alexandria, functional GGA-PBE.

Total DFT energy (no corrections): -7.73 eV per atom
ΔH_f (0 K): -0.241 eV/atom
E above lowest polymorph: 0 meV per atom

Cell: 9.9611 3.3840 5.9640 Å, 90.00 108.18 90.00°
Space group C2/m (No. 12)
One atom of each set of equivalent atoms:
1 Ti 0.1556 0.0000 0.0749 (multiplicity 4)
2 Al 0.1655 0.0000 0.5904 (multiplicity 4)
3 Mo 0.0053 0.5000 0.2584 (multiplicity 4)

---

A relaxed structure of Ti4AlMo2. Source: Alexandria, functional GGA-PBE.

Total DFT energy (no corrections): -7.94 eV per atom
ΔH_f (0 K): 0.196 eV/atom

Cell: 7.7719 7.7719 7.9052 Å, 90.00 90.00 90.00°
Space group I-42d (No. 122)
One atom of each set of equivalent atoms:
1 Ti 0.0757 0.6774 0.4504 (multiplicity 16)
2 Al 0.0000 0.0000 0.5000 (multiplicity 4)
3 Mo 0.1084 0.7500 0.1250 (multiplicity 8)

---

A relaxed structure of Ti2AlMo2. Source: Alexandria, functional GGA-PBE.

Total DFT energy (no corrections): -8.41 eV per atom
ΔH_f (0 K): -0.169 eV/atom
E above lowest polymorph: 0 meV per atom

Cell: 13.4935 4.3316 2.7612 Å, 90.00 94.03 90.00°
Space group C2/m (No. 12)
One atom of each set of equivalent atoms:
1 Ti 0.1041 0.0000 0.4600 (multiplicity 4)
2 Al 0.0000 0.5000 0.0000 (multiplicity 2)
3 Mo 0.2037 0.5000 0.8418 (multiplicity 4)

---

Question: total DFT energy (no corrections) of number 3 (Ti4AlMo2)?
Answer: -7.94 eV per atom

---

Question: The highest ΔH_f (0 K) belongs to which entry?
Answer: Ti4AlMo2

---

Question: What is the formula in the second record?
Answer: TiAlMo

---

Question: total DFT energy (no corrections) of number 3 (Ti4AlMo2)?
Answer: -7.94 eV per atom